1.
# Sr2AlNi

A relaxed structure of Sr2AlNi (GGA-PBE, the Alexandria database).

a = 4.222 Å, b = 4.859 Å, c = 11.608 Å
α = 90.00°, β = 90.00°, γ = 90.00°
Fractional positions:
Sr 0.000 0.000 0.000
Sr 0.000 0.500 0.500
Sr 0.500 0.000 0.287
Sr 0.500 0.500 0.787
Al 0.000 0.000 0.690
Al 0.000 0.500 0.190
Ni 0.500 0.000 0.593
Ni 0.500 0.500 0.093

* DOS(E_F): 4.824 states/eV/cell
* total moment: 0.000 μB per formula unit
* energy relative to the elements: -0.1325 eV/atom
* VASP energy: -3.354 eV per atom

2.
# PrNd8Y2

A relaxed structure of PrNd8Y2 (GGA-PBE, the Alexandria database).

a = 9.180 Å, b = 9.180 Å, c = 6.776 Å
α = 98.92°, β = 98.92°, γ = 43.75°
Fractional positions:
Pr 0.000 0.000 0.000
Nd 0.174 0.649 0.592
Nd 0.245 0.245 0.319
Nd 0.351 0.826 0.408
Nd 0.408 0.408 0.090
Nd 0.592 0.592 0.910
Nd 0.649 0.174 0.592
Nd 0.755 0.755 0.681
Nd 0.826 0.351 0.408
Y 0.202 0.202 0.808
Y 0.798 0.798 0.192

* offset from the most stable computed form: 142 meV per atom
* DOS(E_F): 18.628 states/eV/cell
* total moment: 0.000 μB per formula unit
* energy relative to the elements: 0.1557 eV/atom
* VASP energy: -4.922 eV per atom

3.
# Sm5Dy5Th2

A relaxed structure of Sm5Dy5Th2 (GGA-PBE, the Alexandria database).

a = 8.020 Å, b = 8.020 Å, c = 11.363 Å
α = 115.26°, β = 115.26°, γ = 36.85°
Fractional positions:
Sm 0.000 0.000 0.000
Sm 0.082 0.082 0.748
Sm 0.250 0.250 0.254
Sm 0.750 0.750 0.746
Sm 0.918 0.918 0.252
Dy 0.332 0.332 0.998
Dy 0.415 0.415 0.745
Dy 0.500 0.500 0.500
Dy 0.585 0.585 0.255
Dy 0.668 0.668 0.002
Th 0.169 0.169 0.499
Th 0.831 0.831 0.501

* DOS(E_F): 16.075 states/eV/cell
* total moment: 0.000 μB per formula unit
* energy relative to the elements: 0.0304 eV/atom
* VASP energy: -5.090 eV per atom

4.
# Pr3ZnGe2Pd9

A relaxed structure of Pr3ZnGe2Pd9 (GGA-PBE, the Alexandria database).

a = 5.806 Å, b = 5.806 Å, c = 10.931 Å
α = 90.00°, β = 90.00°, γ = 120.00°
Fractional positions:
Pr 0.000 0.000 0.000
Pr 0.333 0.667 0.597
Pr 0.667 0.333 0.403
Zn 0.000 0.000 0.500
Ge 0.333 0.667 0.164
Ge 0.667 0.333 0.836
Pd 0.000 0.500 0.000
Pd 0.163 0.326 0.322
Pd 0.163 0.837 0.322
Pd 0.326 0.163 0.678
Pd 0.500 0.000 0.000
Pd 0.500 0.500 0.000
Pd 0.674 0.837 0.322
Pd 0.837 0.163 0.678
Pd 0.837 0.674 0.678

* DOS(E_F): 5.515 states/eV/cell
* total moment: 0.000 μB per formula unit
* energy relative to the elements: -0.5587 eV/atom
* VASP energy: -5.331 eV per atom

5.
# Tb4NpSb5

A relaxed structure of Tb4NpSb5 (GGA-PBE, the Alexandria database).

a = 11.655 Å, b = 11.655 Å, c = 11.655 Å
α = 158.24°, β = 149.04°, γ = 38.16°
Fractional positions:
Tb 0.101 0.101 0.000
Tb 0.299 0.299 0.000
Tb 0.701 0.701 0.000
Tb 0.899 0.899 0.000
Np 0.500 0.500 0.000
Sb 0.000 0.500 0.500
Sb 0.200 0.700 0.500
Sb 0.400 0.900 0.500
Sb 0.600 0.100 0.500
Sb 0.800 0.300 0.500

* DOS(E_F): 11.601 states/eV/cell
* total moment: 3.790 μB per formula unit
* uncorrected formation energy: -9.53 eV per formula unit
* VASP energy: -6.161 eV per atom

6.
# LaCrSe2

A relaxed structure of LaCrSe2 (GGA-PBE, the Alexandria database).

a = 7.189 Å, b = 7.189 Å, c = 7.189 Å
α = 90.00°, β = 90.00°, γ = 90.00°
Fractional positions:
La 0.000 0.000 0.000
La 0.000 0.500 0.500
La 0.500 0.000 0.500
La 0.500 0.500 0.000
Cr 0.250 0.250 0.750
Cr 0.250 0.750 0.250
Cr 0.750 0.250 0.250
Cr 0.750 0.750 0.750
Se 0.000 0.000 0.500
Se 0.000 0.500 0.000
Se 0.250 0.250 0.250
Se 0.250 0.750 0.750
Se 0.500 0.000 0.000
Se 0.500 0.500 0.500
Se 0.750 0.250 0.750
Se 0.750 0.750 0.250

* offset from the most stable computed form: 733 meV per atom
* DOS(E_F): 2.993 states/eV/cell
* total moment: 4.999 μB per formula unit
* uncorrected formation energy: -1.48 eV per formula unit
* VASP energy: -5.750 eV per atom

7.
# ScPaBi

A relaxed structure of ScPaBi (GGA-PBE, the Alexandria database).

a = 5.168 Å, b = 5.168 Å, c = 3.437 Å
α = 90.00°, β = 90.00°, γ = 120.00°
Fractional positions:
Sc 0.000 0.000 0.000
Pa 0.667 0.333 0.500
Bi 0.333 0.667 0.004

* offset from the most stable computed form: 327 meV per atom
* DOS(E_F): 5.844 states/eV/cell
* total moment: 1.383 μB per formula unit
* energy relative to the elements: 0.0310 eV/atom
* VASP energy: -6.538 eV per atom

8.
# Tb8Pr2Sm

A relaxed structure of Tb8Pr2Sm (GGA-PBE, the Alexandria database).

a = 9.506 Å, b = 9.506 Å, c = 8.042 Å
α = 104.73°, β = 104.73°, γ = 31.02°
Fractional positions:
Tb 0.045 0.045 0.227
Tb 0.135 0.135 0.678
Tb 0.319 0.319 0.592
Tb 0.410 0.410 0.046
Tb 0.590 0.590 0.954
Tb 0.681 0.681 0.408
Tb 0.865 0.865 0.322
Tb 0.955 0.955 0.773
Pr 0.227 0.227 0.137
Pr 0.773 0.773 0.863
Sm 0.500 0.500 0.500

* offset from the most stable computed form: 0 meV per atom
* DOS(E_F): 15.827 states/eV/cell
* total moment: 0.000 μB per formula unit
* energy relative to the elements: 0.0182 eV/atom
* VASP energy: -4.647 eV per atom

> Which of these has the highest DOS(E_F)?

PrNd8Y2